The following is a GGA-PBE calculation of Na2AgPb4 after structural relaxation, from the Alexandria database.

## Properties
The calculation puts the final energy at -2.79 eV per atom. As for the formation energy: 114 meV/atom.

a = 5.6666 Å, b = 6.2425 Å, c = 7.6296 Å
α = 114.15°, β = 90.00°, γ = 90.00°
Fractional positions:
Na: 0.5000 0.1428 0.2857
Na: 0.5000 0.8572 0.7143
Ag: 0.0000 0.5000 0.0000
Pb: 0.5000 0.6081 0.2161
Pb: 0.0000 0.7140 0.4280
Pb: 0.5000 0.3919 0.7839
Pb: 0.0000 0.2860 0.5720

The following is a GGA-PBE calculation of CdSiSnHg after structural relaxation, from the Alexandria database.

## Properties
As for the formation energy without anion corrections: 0.2135 eV/atom. The calculation puts the final energy at -2.45 eV per atom.

a = 4.2314 Å, b = 5.3643 Å, c = 5.0780 Å
α = 68.70°, β = 89.99°, γ = 90.02°
Fractional positions:
Hg: 0.5569 0.5331 0.0738
Si: 0.0536 0.1199 0.3811
Sn: 0.5535 0.7986 0.4601
Cd: 0.0563 0.2686 0.8130

The following is a GGA-PBE calculation of LaTbYTh after structural relaxation, from the Alexandria database.

## Properties
The calculation puts the final energy at -5.73 eV per atom. As for the formation energy: 127 meV/atom.

a = 5.7433 Å, b = 5.7433 Å, c = 5.7433 Å
α = 60.00°, β = 60.00°, γ = 60.00°
Fractional positions:
Y: 0.2500 0.2500 0.2500
Tb: 0.7500 0.7500 0.7500
Th: 0.0000 0.0000 0.0000
La: 0.5000 0.5000 0.5000

The following is a GGA-PBE calculation of SrTlOs2 after structural relaxation, from the Alexandria database.

## Properties
The calculation puts the final energy at -5.50 eV per atom. As for the formation energy: 1126 meV/atom.

a = 5.8268 Å, b = 5.8268 Å, c = 2.9119 Å
α = 76.34°, β = 76.34°, γ = 117.03°
Fractional positions:
Os: 0.0000 0.0000 0.0000
Os: 0.5000 0.5000 0.0000
Sr: 0.5000 0.0000 0.5000
Tl: 0.0000 0.5000 0.5000